VASP calculation (PBE-GGA) on an optimized crystal structure of Cd2In2Sb.

Computed properties:
Magnetic moment: 0.000 μB per atom
Uncorrected formation energy: 12 kJ per mole of atoms
Space-group type: I4/mmm, No. 139
Excess energy over the best structure of this formula in the dataset: 45.3 meV per atom

a b c (Å): 4.1419 4.1419 16.0990
angles (deg): 90.00 90.00 90.00
Fractional coordinates of all 10 atoms:
Cd 0.0000 0.5000 0.2500
Cd 0.0000 0.5000 0.7500
Cd 0.5000 0.0000 0.2500
Cd 0.5000 0.0000 0.7500
In 0.0000 0.0000 0.0953
In 0.0000 0.0000 0.9047
In 0.5000 0.5000 0.4047
In 0.5000 0.5000 0.5953
Sb 0.0000 0.0000 0.5000
Sb 0.5000 0.5000 0.0000

VASP calculation (PBE-GGA) on an optimized crystal structure of KRb2H8.

Computed properties:
Calculated total energy: -2.7290 eV/atom
Magnetic moment: 0.051 μB per atom
Space-group type: C2/m, No. 12

a b c (Å): 8.4643 8.4643 6.9259
angles (deg): 109.42 109.42 36.30
Fractional coordinates of all 11 atoms:
K 0.0000 0.0000 0.0000
Rb 0.3315 0.3315 0.2147
Rb 0.6685 0.6685 0.7853
H 0.1540 0.1540 0.9638
H 0.2200 0.2200 0.5352
H 0.2688 0.2688 0.6047
H 0.4874 0.4874 0.9405
H 0.5126 0.5126 0.0595
H 0.7312 0.7312 0.3953
H 0.7800 0.7800 0.4648
H 0.8460 0.8460 0.0362

VASP calculation (PBE-GGA) on an optimized crystal structure of NaSr3Hg4.

Computed properties:
Formation energy: -3.5 eV/f.u.
Magnetic moment: 0.000 μB per atom
Space-group type: Pmma, No. 51

a b c (Å): 11.2534 7.7954 5.6267
angles (deg): 90.00 90.00 90.00
Fractional coordinates of all 16 atoms:
Na 0.0000 0.0000 0.0000
Na 0.5000 0.0000 0.0000
Sr 0.0000 0.5000 0.0000
Sr 0.2500 0.0000 0.4984
Sr 0.2500 0.5000 0.4989
Sr 0.5000 0.5000 0.0000
Sr 0.7500 0.0000 0.5016
Sr 0.7500 0.5000 0.5011
Hg 0.0000 0.2465 0.5000
Hg 0.0000 0.7535 0.5000
Hg 0.2500 0.2465 0.9984
Hg 0.2500 0.7535 0.9984
Hg 0.5000 0.2465 0.5000
Hg 0.5000 0.7535 0.5000
Hg 0.7500 0.2465 0.0016
Hg 0.7500 0.7535 0.0016